Record 1
LiCuAu2 | PBE-GGA | optimized geometry

ΔH_f (0 K) in meV/atom: -214
Symmetry: P2/m (10)
Crystal system: monoclinic

Lattice parameters (Å, degrees): 3.031 4.919 5.408 51.18 90.00 90.00
Element x y z (fractional)
Li: 0.000 0.000 0.500
Au: 0.000 0.000 0.000
Cu: 0.500 0.500 0.500
Au: 0.500 0.500 0.000


Record 2
LiCu2Au | PBE-GGA | optimized geometry

ΔH_f (0 K) in meV/atom: -133
Symmetry: P4mm (99)
Crystal system: tetragonal

Lattice parameters (Å, degrees): 3.074 3.074 5.800 90.00 90.00 90.00
Element x y z (fractional)
Cu: 0.000 0.000 0.024
Li: 0.000 0.000 0.489
Cu: 0.500 0.500 0.243
Au: 0.500 0.500 0.744


Record 3
Li3CuAu6 | PBE-GGA | optimized geometry

ΔH_f (0 K) in meV/atom: -358
Symmetry: P2_1/m (11)
Crystal system: monoclinic

Lattice parameters (Å, degrees): 4.675 7.477 10.249 115.20 90.00 90.00
Element x y z (fractional)
Au: 0.250 0.073 0.861
Au: 0.250 0.663 0.663
Au: 0.250 0.259 0.483
Au: 0.250 0.471 0.072
Li: 0.750 0.634 0.231
Au: 0.750 0.741 0.517
Li: 0.250 0.366 0.769
Au: 0.250 0.857 0.285
Li: 0.250 0.778 0.976
Au: 0.750 0.529 0.928
Au: 0.750 0.143 0.715
Cu: 0.750 0.032 0.429
Cu: 0.250 0.968 0.571
Au: 0.250 0.168 0.165
Li: 0.750 0.222 0.024
Li: 0.750 0.446 0.627
Au: 0.750 0.337 0.337
Au: 0.750 0.927 0.139
Li: 0.250 0.554 0.373
Au: 0.750 0.832 0.835


Record 4
LiCuAu6 | PBE-GGA | optimized geometry

ΔH_f (0 K) in meV/atom: -69
Symmetry: C2/m (12)
Crystal system: monoclinic

Lattice parameters (Å, degrees): 4.808 4.808 7.471 73.63 73.63 69.55
Element x y z (fractional)
Cu: 0.000 0.000 0.000
Au: 0.557 0.061 0.303
Au: 0.443 0.939 0.697
Au: 0.939 0.443 0.697
Li: 0.500 0.500 0.500
Au: 0.649 0.649 0.061
Au: 0.061 0.557 0.303
Au: 0.351 0.351 0.939


| no. | theoretical density (Mg/m³) |
| --- | --- |
| 1 | 12.28 |
| 2 | 10.03 |
| 3 | 12.97 |
| 4 | 13.68 |